{
  "formula": "LaPr12Dy7",
  "functional": "PBE",
  "state": "relaxed",
  "energy_ev_per_cell": -90.387,
  "e_form_ev_per_atom": 0.2055,
  "space_group": "No. 166",
  "magmom_total_mub_per_atom": 0.00,
  "relative_energy_mev_per_atom": 0.0,
  "lattice": [[-6.432, -6.186, 5.172], [8.766, 1.879, 5.099], [-4.564, 8.570, -3.477]],
  "species": ["Pr", "Pr", "Pr", "Pr", "Pr", "Pr", "Pr", "Pr", "Pr", "Pr", "Pr", "Pr", "Dy", "Dy", "Dy", "Dy", "Dy", "Dy", "Dy", "La"],
  "fractional_positions": [[0.714, 0.285, 0.999], [0.999, 0.714, 0.285], [0.929, 0.590, 0.590], [0.001, 0.286, 0.715], [0.286, 0.715, 0.001], [0.410, 0.071, 0.410], [0.410, 0.410, 0.071], [0.590, 0.590, 0.929], [0.715, 0.001, 0.286], [0.285, 0.999, 0.714], [0.590, 0.929, 0.590], [0.071, 0.410, 0.410], [0.500, 0.832, 0.832], [0.832, 0.500, 0.832], [0.168, 0.500, 0.168], [0.500, 0.500, 0.500], [0.168, 0.168, 0.500], [0.832, 0.832, 0.500], [0.500, 0.168, 0.168], [0.000, 0.000, 0.000]]
}